Below is a relaxed structure of TlFe2Au, with properties calculated at the PBE-GGA level.

abc: 4.5449 4.5449 4.5449
angles: 60.00 60.00 60.00
Site moments in Bohr magnetons follow the coordinates.
Fractional coordinates of all 4 atoms:
Fe 0.2500 0.2500 0.2500  2.87
Fe 0.0000 0.0000 0.0000  2.61
Au 0.5000 0.5000 0.5000  0.04
Tl 0.7500 0.7500 0.7500  -0.03

---

Below is a relaxed structure of TlFeAu2, with properties calculated at the PBE-GGA level.

Calculated values
ΔE to the lowest computed polymorph ... 116 meV per atom

abc: 4.7616 4.7616 5.5133
angles: 79.11 79.11 38.88
Site moments in Bohr magnetons follow the coordinates.
Fractional coordinates of all 4 atoms:
Au 0.0035 0.0035 0.9731  0.01
Au 0.7569 0.7569 0.7221  0.04
Fe 0.4955 0.4955 0.5483  2.97
Tl 0.2441 0.2441 0.2566  -0.02

---

| no. | formation energy from the elements (meV/atom) | E_tot (eV per atom) |
| --- | --- | --- |
| 1 | 459 | -5.183 |
| 2 | 298 | -4.048 |